No. 1
Ba3Li5Cl12 | PBE-GGA | relaxed

Output
The mass density comes out at 2.7 g/cm3. The calculation puts the total energy at -3.8626 eV/atom.

a b c (Å): 14.0238 14.0238 14.0238
angles (deg): 109.47 109.47 109.47
With the nearest neighbours (Å) after each atom.
Fractional positions:
Cl  0.6169  0.0231  0.2050  2 Li 2.39-2.63
Cl  0.7950  0.3181  0.9119  2 Li 2.39-2.63
Ba  0.8750  0.7500  0.1250  8 Cl 3.16-3.22
Cl  0.3181  0.7950  0.4119  2 Li 2.39-2.63
Cl  0.0881  0.9063  0.3831  2 Li 2.39-2.63
Li  0.3750  0.1250  0.7500  4 Cl 2.39
Cl  0.0231  0.4063  0.8181  2 Li 2.39-2.63
Li  0.8750  0.2500  0.6250  4 Cl 2.39
Cl  0.0881  0.1819  0.2050  2 Li 2.39-2.63
Li  0.5000  0.0000  0.0000  6 Cl 2.63
Cl  0.4769  0.7950  0.8831  2 Li 2.39-2.63
Cl  0.5881  0.8831  0.4063  2 Li 2.39-2.63
Cl  0.3181  0.5231  0.4063  2 Li 2.39-2.63
Cl  0.5231  0.2050  0.1169  2 Li 2.39-2.63
Cl  0.6819  0.2050  0.5881  2 Li 2.39-2.63
Li  0.7500  0.1250  0.8750  4 Cl 2.39
Li  0.0000  0.0000  0.5000  6 Cl 2.63
Li  0.1250  0.3750  0.2500  4 Cl 2.39
Cl  0.9769  0.5937  0.1819  2 Li 2.39-2.63
Li  0.1250  0.7500  0.3750  4 Cl 2.39
Cl  0.0937  0.9119  0.1169  2 Li 2.39-2.63
Cl  0.4769  0.6819  0.0937  2 Li 2.39-2.63
Cl  0.9119  0.8181  0.7950  2 Li 2.39-2.63
Li  0.0000  0.5000  0.5000  6 Cl 2.63
Cl  0.3831  0.4063  0.0881  2 Li 2.39-2.63
Cl  0.8181  0.9119  0.2950  2 Li 2.39-2.63
Ba  0.6250  0.2500  0.3750  8 Cl 3.16-3.22
Cl  0.6169  0.5937  0.9119  2 Li 2.39-2.63
Li  0.0000  0.0000  0.0000  6 Cl 2.63
Ba  0.2500  0.1250  0.3750  8 Cl 3.16-3.22
Li  0.5000  0.5000  0.5000  6 Cl 2.63
Cl  0.5937  0.9769  0.6819  2 Li 2.39-2.63
Ba  0.3750  0.7500  0.6250  8 Cl 3.16-3.22
Li  0.2500  0.8750  0.1250  4 Cl 2.39
Ba  0.6250  0.3750  0.7500  8 Cl 3.16-3.22
Cl  0.2950  0.8831  0.9769  2 Li 2.39-2.63
Li  0.8750  0.6250  0.7500  4 Cl 2.39
Cl  0.4119  0.1169  0.5937  2 Li 2.39-2.63
Cl  0.8831  0.2950  0.4769  2 Li 2.39-2.63
Cl  0.2050  0.5231  0.6169  2 Li 2.39-2.63
Cl  0.1169  0.4119  0.0937  2 Li 2.39-2.63
Cl  0.9769  0.3831  0.2950  2 Li 2.39-2.63
Cl  0.1169  0.7050  0.5231  2 Li 2.39-2.63
Cl  0.1819  0.0881  0.7050  2 Li 2.39-2.63
Cl  0.9063  0.0881  0.8831  2 Li 2.39-2.63
Li  0.5000  0.0000  0.5000  6 Cl 2.63
Cl  0.5231  0.3181  0.9063  2 Li 2.39-2.63
Ba  0.7500  0.8750  0.6250  8 Cl 3.16-3.22
Cl  0.6819  0.4769  0.5937  2 Li 2.39-2.63
Ba  0.2500  0.6250  0.8750  8 Cl 3.16-3.22
Li  0.6250  0.7500  0.8750  4 Cl 2.39
Ba  0.7500  0.3750  0.1250  8 Cl 3.16-3.22
Cl  0.1819  0.0937  0.9769  2 Li 2.39-2.63
Cl  0.7950  0.4769  0.3831  2 Li 2.39-2.63
Cl  0.9119  0.0937  0.6169  2 Li 2.39-2.63
Cl  0.7050  0.5881  0.1819  2 Li 2.39-2.63
Li  0.3750  0.2500  0.1250  4 Cl 2.39
Cl  0.0937  0.1819  0.4769  2 Li 2.39-2.63
Li  0.0000  0.5000  0.0000  6 Cl 2.63
Li  0.7500  0.6250  0.3750  4 Cl 2.39
Cl  0.5937  0.6169  0.4119  2 Li 2.39-2.63
Li  0.5000  0.5000  0.0000  6 Cl 2.63
Cl  0.4063  0.3831  0.5881  2 Li 2.39-2.63
Cl  0.7050  0.1169  0.0231  2 Li 2.39-2.63
Cl  0.8831  0.5881  0.9063  2 Li 2.39-2.63
Ba  0.1250  0.2500  0.8750  8 Cl 3.16-3.22
Cl  0.2950  0.4119  0.8181  2 Li 2.39-2.63
Ba  0.8750  0.1250  0.2500  8 Cl 3.16-3.22
Li  0.2500  0.3750  0.6250  4 Cl 2.39
Cl  0.4119  0.2950  0.3181  2 Li 2.39-2.63
Li  0.6250  0.8750  0.2500  4 Cl 2.39
Cl  0.4063  0.0231  0.3181  2 Li 2.39-2.63
Cl  0.0231  0.6169  0.7050  2 Li 2.39-2.63
Cl  0.2050  0.6819  0.0881  2 Li 2.39-2.63
Ba  0.1250  0.8750  0.7500  8 Cl 3.16-3.22
Ba  0.3750  0.6250  0.2500  8 Cl 3.16-3.22
Cl  0.8181  0.9063  0.0231  2 Li 2.39-2.63
Cl  0.9063  0.8181  0.5231  2 Li 2.39-2.63
Cl  0.5881  0.7050  0.6819  2 Li 2.39-2.63
Cl  0.3831  0.9769  0.7950  2 Li 2.39-2.63

No. 2
BaLi2Cl | PBE-GGA | relaxed

Output
The energy above the lowest structure with this stoichiometry comes out at 101 meV/atom. The mass density comes out at 2.8 g/cm3. The calculation puts the total energy at -2.5663 eV/atom.

a b c (Å): 3.7657 3.7657 7.8657
angles (deg): 90.00 90.00 99.29
With the nearest neighbours (Å) after each atom.
Fractional positions:
Li  0.0000  0.0000  0.9850  2 Cl 2.71, 2 Li 2.86
Li  0.5000  0.5000  0.1758  1 Cl 2.68, 2 Li 2.86
Cl  0.5000  0.5000  0.8354  3 Li 2.68-2.71
Ba  0.0000  0.0000  0.5037  5 Li 3.55-3.86, 4 Cl 3.57-3.88, 4 Ba 3.77

No. 3
BaLi4Cl | PBE-GGA | relaxed

Output
The mass density comes out at 2.0 g/cm3. The calculation puts the total energy at -2.1272 eV/atom.

a b c (Å): 6.2003 6.2003 6.2003
angles (deg): 60.00 60.00 60.00
With the nearest neighbours (Å) after each atom.
Fractional positions:
Li  0.8798  0.3734  0.3734  6 Li 3.06-3.14
Li  0.3734  0.3734  0.3734  6 Li 3.06-3.14
Ba  0.7500  0.7500  0.7500  12 Li 3.64, 4 Cl 3.80
Li  0.3734  0.8798  0.3734  6 Li 3.06-3.14
Li  0.3734  0.3734  0.8798  6 Li 3.06-3.14
Cl  0.0000  0.0000  0.0000  12 Li 3.63, 4 Ba 3.80

No. 4
BaLi2Cl | PBE-GGA | relaxed

Output
The energy above the lowest structure with this stoichiometry comes out at 61 meV/atom. The mass density comes out at 2.3 g/cm3. The calculation puts the total energy at -2.6058 eV/atom.

a b c (Å): 7.1053 4.4014 4.4014
angles (deg): 90.00 90.00 90.00
With the nearest neighbours (Å) after each atom.
Fractional positions:
Cl  0.5000  0.0000  0.5000  4 Ba 3.11
Li  0.0000  0.5000  0.5000  4 Li 3.11
Li  0.0000  0.0000  0.0000  4 Li 3.11
Ba  0.5000  0.5000  0.0000  4 Cl 3.11

No. 5
BaLi2Cl | PBE-GGA | relaxed

Output
The energy above the lowest structure with this stoichiometry comes out at 574 meV/atom. The mass density comes out at 2.4 g/cm3. The calculation puts the total energy at -2.0929 eV/atom.

a b c (Å): 5.6516 5.6516 5.6516
angles (deg): 60.00 60.00 60.00
With the nearest neighbours (Å) after each atom.
Fractional positions:
Ba  0.5000  0.5000  0.5000  8 Li 3.46
Li  0.7500  0.7500  0.7500  4 Ba 3.46, 4 Cl 3.46
Li  0.2500  0.2500  0.2500  4 Ba 3.46, 4 Cl 3.46
Cl  0.0000  0.0000  0.0000  8 Li 3.46

No. 6
BaLiCl3 | PBE-GGA | relaxed

Output
The energy above the lowest structure with this stoichiometry comes out at 5 meV/atom. The mass density comes out at 3.4 g/cm3. The calculation puts the total energy at -4.0762 eV/atom.

a b c (Å): 5.0850 6.9391 6.9418
angles (deg): 90.00 90.00 90.00
With the nearest neighbours (Å) after each atom.
Fractional positions:
Cl  0.0000  0.6930  0.3070  2 Li 2.52
Cl  0.0000  0.1930  0.1930  2 Li 2.52
Ba  0.5000  0.0000  0.0000  8 Cl 3.17-3.47
Cl  0.5000  0.5000  0.0000  2 Li 2.54
Cl  0.0000  0.3070  0.6930  2 Li 2.52
Li  0.0000  0.5000  0.0000  6 Cl 2.52-2.54
Cl  0.5000  0.0000  0.5000  2 Li 2.54
Ba  0.5000  0.5000  0.5000  8 Cl 3.17-3.47
Cl  0.0000  0.8070  0.8070  2 Li 2.52
Li  0.0000  0.0000  0.5000  6 Cl 2.52-2.54

No. 7
BaLi3Cl | PBE-GGA | relaxed

Output
The energy above the lowest structure with this stoichiometry comes out at 0 meV/atom. The mass density comes out at 2.1 g/cm3. The calculation puts the total energy at -2.2633 eV/atom.

a b c (Å): 5.3291 5.3291 5.3291
angles (deg): 90.00 90.00 90.00
With the nearest neighbours (Å) after each atom.
Fractional positions:
Li  0.0000  0.5000  0.0000  2 Cl 2.66
Ba  0.5000  0.5000  0.5000  12 Li 3.77
Li  0.5000  0.0000  0.0000  2 Cl 2.66
Cl  0.0000  0.0000  0.0000  6 Li 2.66
Li  0.0000  0.0000  0.5000  2 Cl 2.66

No. 8
Ba12Li3Cl5 | PBE-GGA | relaxed

Output
The mass density comes out at 3.1 g/cm3. The calculation puts the total energy at -2.6866 eV/atom.

a b c (Å): 17.3404 17.3404 17.3404
angles (deg): 109.47 109.47 109.47
With the nearest neighbours (Å) after each atom.
Fractional positions:
Ba  0.5319  0.3189  0.9138  2 Cl 3.03-3.31
Ba  0.4138  0.3819  0.5949  2 Cl 3.03-3.31
Ba  0.0949  0.1811  0.2129  2 Cl 3.03-3.31
Cl  0.7500  0.6250  0.3750  4 Ba 3.03
Ba  0.7129  0.5949  0.1811  2 Cl 3.03-3.31
Ba  0.3819  0.4138  0.0949  2 Cl 3.03-3.31
Ba  0.7871  0.3189  0.9051  2 Cl 3.03-3.31
Cl  0.3750  0.1250  0.7500  4 Ba 3.03
Li  0.3750  0.7500  0.6250  8 Ba 3.82-3.93
Ba  0.1181  0.4051  0.0862  2 Cl 3.03-3.31
Ba  0.8819  0.2871  0.4681  2 Cl 3.03-3.31
Cl  0.6250  0.7500  0.8750  4 Ba 3.03
Li  0.1250  0.8750  0.7500  8 Ba 3.82-3.93
Ba  0.6811  0.2129  0.5949  2 Cl 3.03-3.31
Ba  0.2871  0.8819  0.9681  2 Cl 3.03-3.31
Cl  0.8750  0.2500  0.6250  4 Ba 3.03
Ba  0.1181  0.7129  0.5319  2 Cl 3.03-3.31
Ba  0.3189  0.5319  0.4138  2 Cl 3.03-3.31
Ba  0.6811  0.4681  0.5862  2 Cl 3.03-3.31
Ba  0.0949  0.9138  0.3819  2 Cl 3.03-3.31
Ba  0.9051  0.0862  0.6181  2 Cl 3.03-3.31
Li  0.1250  0.2500  0.8750  8 Ba 3.82-3.93
Ba  0.3819  0.9681  0.7871  2 Cl 3.03-3.31
Ba  0.7871  0.4681  0.3819  2 Cl 3.03-3.31
Cl  0.2500  0.8750  0.1250  4 Ba 3.03
Ba  0.4051  0.2871  0.3189  2 Cl 3.03-3.31
Ba  0.5862  0.6181  0.4051  2 Cl 3.03-3.31
Cl  0.0000  0.5000  0.5000  6 Ba 3.31
Ba  0.5949  0.8819  0.4138  2 Cl 3.03-3.31
Ba  0.6181  0.5862  0.9051  2 Cl 3.03-3.31
Ba  0.0862  0.9051  0.1181  2 Cl 3.03-3.31
Ba  0.8189  0.9051  0.2871  2 Cl 3.03-3.31
Ba  0.9681  0.5862  0.1811  2 Cl 3.03-3.31
Li  0.3750  0.6250  0.2500  8 Ba 3.82-3.93
Cl  0.8750  0.6250  0.7500  4 Ba 3.03
Cl  0.7500  0.1250  0.8750  4 Ba 3.03
Ba  0.7129  0.1181  0.0319  2 Cl 3.03-3.31
Li  0.7500  0.8750  0.6250  8 Ba 3.82-3.93
Ba  0.4681  0.7871  0.8819  2 Cl 3.03-3.31
Ba  0.3189  0.7871  0.4051  2 Cl 3.03-3.31
Ba  0.5862  0.9681  0.6811  2 Cl 3.03-3.31
Ba  0.4681  0.6811  0.0862  2 Cl 3.03-3.31
Cl  0.1250  0.3750  0.2500  4 Ba 3.03
Ba  0.0862  0.1811  0.4681  2 Cl 3.03-3.31
Ba  0.2129  0.6811  0.0949  2 Cl 3.03-3.31
Ba  0.0319  0.4138  0.8189  2 Cl 3.03-3.31
Li  0.7500  0.3750  0.1250  8 Ba 3.82-3.93
Cl  0.6250  0.8750  0.2500  4 Ba 3.03
Cl  0.0000  0.0000  0.0000  6 Ba 3.31
Ba  0.5319  0.2129  0.1181  2 Cl 3.03-3.31
Ba  0.5949  0.7129  0.6811  2 Cl 3.03-3.31
Li  0.2500  0.1250  0.3750  8 Ba 3.82-3.93
Li  0.6250  0.2500  0.3750  8 Ba 3.82-3.93
Ba  0.2871  0.4051  0.8189  2 Cl 3.03-3.31
Ba  0.9138  0.8189  0.5319  2 Cl 3.03-3.31
Ba  0.1811  0.0949  0.7129  2 Cl 3.03-3.31
Ba  0.4051  0.1181  0.5862  2 Cl 3.03-3.31
Ba  0.2129  0.5319  0.6181  2 Cl 3.03-3.31
Li  0.2500  0.6250  0.8750  8 Ba 3.82-3.93
Ba  0.9138  0.0949  0.8819  2 Cl 3.03-3.31
Cl  0.5000  0.5000  0.0000  6 Ba 3.31
Ba  0.9051  0.8189  0.7871  2 Cl 3.03-3.31
Li  0.8750  0.1250  0.2500  8 Ba 3.82-3.93
Cl  0.3750  0.2500  0.1250  4 Ba 3.03
Li  0.8750  0.7500  0.1250  8 Ba 3.82-3.93
Ba  0.8189  0.9138  0.0319  2 Cl 3.03-3.31
Cl  0.2500  0.3750  0.6250  4 Ba 3.03
Ba  0.4138  0.0319  0.3189  2 Cl 3.03-3.31
Ba  0.9681  0.3819  0.2871  2 Cl 3.03-3.31
Li  0.6250  0.3750  0.7500  8 Ba 3.82-3.93
Ba  0.6181  0.0319  0.2129  2 Cl 3.03-3.31
Cl  0.5000  0.5000  0.5000  6 Ba 3.31
Cl  0.5000  0.0000  0.0000  6 Ba 3.31
Ba  0.1811  0.0862  0.9681  2 Cl 3.03-3.31
Cl  0.1250  0.7500  0.3750  4 Ba 3.03
Cl  0.0000  0.5000  0.0000  6 Ba 3.31
Cl  0.5000  0.0000  0.5000  6 Ba 3.31
Cl  0.0000  0.0000  0.5000  6 Ba 3.31
Ba  0.0319  0.6181  0.7129  2 Cl 3.03-3.31
Ba  0.8819  0.5949  0.9138  2 Cl 3.03-3.31

The following E_form (uncorrected) values (in meV/atom) correspond, in order, to the records above: -1988 -667 -223 -707 -194 -2201 -361 -784.